Compound: PrMg2In
Source: the Alexandria database
Functional: GGA-PBE
Structure: optimized geometry

Unit cell a=4.6002 b=10.3692 c=9.4175 alpha=90.00 beta=104.14 gamma=90.00
Fractional coordinates of all 16 atoms:
1 Pr 0.5000 0.5000 0.0000
2 Pr 0.5000 0.0000 0.0000
3 Pr 0.3132 0.7500 0.6264
4 Pr 0.6868 0.2500 0.3736
5 Mg 0.8825 0.2500 0.7651
6 Mg 0.9601 0.7500 0.9202
7 Mg 0.1175 0.7500 0.2349
8 Mg 0.0399 0.2500 0.0798
9 Mg 0.7028 0.5968 0.4056
10 Mg 0.2972 0.4032 0.5944
11 Mg 0.2972 0.0968 0.5944
12 Mg 0.7028 0.9032 0.4056
13 In 0.1351 0.4715 0.2703
14 In 0.8649 0.9715 0.7297
15 In 0.1351 0.0285 0.2703
16 In 0.8649 0.5285 0.7297

Results
total energy = -2.923 eV per atom
polymorph energy (0 for the lowest one) = 0.039 eV/atom
SG = Cmcm, No. 63
E_form = -0.25 eV/atom
V = 27.2 Å³ per atom

***

Compound: Mn2CdSiN
Source: the Alexandria database
Functional: GGA-PBE
Structure: optimized geometry

Unit cell a=3.9404 b=4.7321 c=3.9404 alpha=90.00 beta=90.00 gamma=90.00
Last column: magnetic moment on the atom in μB.
Fractional coordinates of all 5 atoms:
1 N 0.0000 0.0000 0.0000  -0.05
2 Si 0.5000 0.5000 0.5000  -0.04
3 Mn 0.0000 0.0000 0.5000  3.28
4 Mn 0.5000 0.0000 0.0000  3.12
5 Cd 0.0000 0.5000 0.0000  0.02

Results
total energy = -6.292 eV per atom
SG = P4/mmm, No. 123
V = 14.7 Å³ per atom
uncorrected formation energy = 308 meV per atom